This record from the Alexandria database describes a geometry-optimized KCa2Y2 structure. The functional is GGA-PBE.

Properties
N(E_F): 6.22 states/eV/f.u.
Space group: I4/mmm, No. 139
Offset from the most stable computed form: 0.081 eV per atom
Total energy: -16.0 eV/cell
ΔH_f (0 K): 0.398 eV/atom

a b c (Å): 12.2090 12.2090 12.2090
angles (deg): 158.85 158.85 30.09
Element x y z (fractional)
K: 0.0000 0.0000 0.0000
Ca: 0.3758 0.3758 0.0000
Ca: 0.6242 0.6242 0.0000
Y: 0.2500 0.7500 0.5000
Y: 0.7500 0.2500 0.5000



This record from the Alexandria database describes a geometry-optimized K2CaY structure. The functional is GGA-PBE.

Properties
N(E_F): 6.55 states/eV/f.u.
Space group: Imm2, No. 44
Offset from the most stable computed form: 0.205 eV per atom
Total energy: -8.8 eV/cell
ΔH_f (0 K): 0.454 eV/atom

a b c (Å): 8.0973 8.0973 8.0973
angles (deg): 152.15 126.96 60.96
Element x y z (fractional)
K: 0.0000 0.0000 0.0000
K: 0.7420 0.2420 0.5000
Ca: 0.4793 0.4793 0.0000
Y: 0.2605 0.7605 0.5000



This record from the Alexandria database describes a geometry-optimized K2CaY structure. The functional is GGA-PBE.

Properties
N(E_F): 5.58 states/eV/f.u.
Space group: Cmm2, No. 35
Offset from the most stable computed form: 0.000 eV per atom
Total energy: -9.7 eV/cell
ΔH_f (0 K): 0.249 eV/atom

a b c (Å): 3.8111 3.8111 13.8048
angles (deg): 90.00 90.00 108.38
Element x y z (fractional)
K: 0.0000 0.0000 0.0000
K: 0.5000 0.5000 0.2937
Ca: 0.5000 0.5000 0.7390
Y: 0.0000 0.0000 0.5389



This record from the Alexandria database describes a geometry-optimized K2CaY structure. The functional is GGA-PBE.

Properties
N(E_F): 5.55 states/eV/f.u.
Space group: P4mm, No. 99
Offset from the most stable computed form: 0.003 eV per atom
Total energy: -9.7 eV/cell
ΔH_f (0 K): 0.252 eV/atom

a b c (Å): 3.8800 3.8800 13.0938
angles (deg): 90.00 90.00 90.00
Element x y z (fractional)
K: 0.0000 0.0000 0.0000
K: 0.5000 0.5000 0.3034
Ca: 0.5000 0.5000 0.7374
Y: 0.0000 0.0000 0.5494



This record from the Alexandria database describes a geometry-optimized K2CaY structure. The functional is GGA-PBE.

Properties
N(E_F): 4.29 states/eV/f.u.
Space group: Cmmm, No. 65
Offset from the most stable computed form: 0.185 eV per atom
Total energy: -8.9 eV/cell
ΔH_f (0 K): 0.434 eV/atom

a b c (Å): 7.8703 7.8703 3.6288
angles (deg): 90.00 90.00 122.68
Element x y z (fractional)
K: 0.0000 0.5000 0.0000
K: 0.5000 0.0000 0.0000
Ca: 0.0000 0.0000 0.5000
Y: 0.5000 0.5000 0.5000



This record from the Alexandria database describes a geometry-optimized K2CaY structure. The functional is GGA-PBE.

Properties
N(E_F): 4.08 states/eV/f.u.
Space group: Cm, No. 8
Offset from the most stable computed form: 0.134 eV per atom
Total energy: -9.1 eV/cell
ΔH_f (0 K): 0.384 eV/atom

a b c (Å): 6.8011 6.8011 7.9528
angles (deg): 94.14 94.14 31.56
Element x y z (fractional)
K: 0.0000 0.0000 0.0000
K: 0.2448 0.2448 0.7498
Ca: 0.7549 0.7549 0.2934
Y: 0.4936 0.4936 0.4686



This record from the Alexandria database describes a geometry-optimized K2CaY structure. The functional is GGA-PBE.

Properties
N(E_F): 4.11 states/eV/f.u.
Space group: Pmmm, No. 47
Offset from the most stable computed form: 0.181 eV per atom
Total energy: -8.9 eV/cell
ΔH_f (0 K): 0.430 eV/atom

a b c (Å): 3.6461 6.8908 7.5319
angles (deg): 90.00 90.00 90.00
Element x y z (fractional)
K: 0.0000 0.0000 0.2447
K: 0.0000 0.0000 0.7553
Ca: 0.5000 0.5000 0.5000
Y: 0.5000 0.5000 0.0000



This record from the Alexandria database describes a geometry-optimized K2CaY structure. The functional is GGA-PBE.

Properties
N(E_F): 6.56 states/eV/f.u.
Space group: Fm-3m, No. 225
Offset from the most stable computed form: 0.337 eV per atom
Total energy: -8.3 eV/cell
ΔH_f (0 K): 0.586 eV/atom

a b c (Å): 6.4972 6.4972 6.4972
angles (deg): 60.00 60.00 60.00
Element x y z (fractional)
K: 0.2500 0.2500 0.2500
K: 0.7500 0.7500 0.7500
Ca: 0.0000 0.0000 0.0000
Y: 0.5000 0.5000 0.5000



This record from the Alexandria database describes a geometry-optimized KCaY3 structure. The functional is GGA-PBE.

Properties
N(E_F): 1.89 states/eV/f.u.
Space group: Pm-3m, No. 221
Total energy: -17.6 eV/cell
ΔH_f (0 K): 0.986 eV/atom

a b c (Å): 5.6363 5.6363 5.6363
angles (deg): 90.00 90.00 90.00
Element x y z (fractional)
K: 0.0000 0.0000 0.0000
Ca: 0.5000 0.5000 0.5000
Y: 0.0000 0.0000 0.5000
Y: 0.0000 0.5000 0.0000
Y: 0.5000 0.0000 0.0000



This record from the Alexandria database describes a geometry-optimized K3CaY structure. The functional is GGA-PBE.

Properties
N(E_F): 6.22 states/eV/f.u.
Space group: Pm-3m, No. 221
Total energy: -7.2 eV/cell
ΔH_f (0 K): 0.908 eV/atom

a b c (Å): 6.9914 6.9914 6.9914
angles (deg): 90.00 90.00 90.00
Element x y z (fractional)
K: 0.0000 0.0000 0.5000
K: 0.0000 0.5000 0.0000
K: 0.5000 0.0000 0.0000
Ca: 0.5000 0.5000 0.5000
Y: 0.0000 0.0000 0.0000



This record from the Alexandria database describes a geometry-optimized K2CaY structure. The functional is GGA-PBE.

Properties
N(E_F): 4.55 states/eV/f.u.
Space group: P2/m, No. 10
Offset from the most stable computed form: 0.127 eV per atom
Total energy: -9.2 eV/cell
ΔH_f (0 K): 0.377 eV/atom

a b c (Å): 3.7022 7.1962 6.9880
angles (deg): 90.00 93.86 90.00
Element x y z (fractional)
K: 0.2400 0.0000 0.2462
K: 0.7600 0.0000 0.7538
Ca: 0.0000 0.5000 0.5000
Y: 0.5000 0.5000 0.0000



This record from the Alexandria database describes a geometry-optimized K2CaY structure. The functional is GGA-PBE.

Properties
N(E_F): 6.02 states/eV/f.u.
Space group: I-4m2, No. 119
Offset from the most stable computed form: 0.255 eV per atom
Total energy: -8.6 eV/cell
ΔH_f (0 K): 0.504 eV/atom

a b c (Å): 6.5116 6.5116 6.5116
angles (deg): 120.10 120.10 89.83
Element x y z (fractional)
K: 0.0000 0.0000 0.0000
K: 0.7500 0.2500 0.5000
Ca: 0.5000 0.5000 0.0000
Y: 0.2500 0.7500 0.5000



This record from the Alexandria database describes a geometry-optimized K2CaY structure. The functional is GGA-PBE.

Properties
N(E_F): 4.99 states/eV/f.u.
Space group: C2/m, No. 12
Offset from the most stable computed form: 0.126 eV per atom
Total energy: -9.2 eV/cell
ΔH_f (0 K): 0.376 eV/atom

a b c (Å): 7.4446 7.4446 6.9578
angles (deg): 94.62 94.62 28.96
Element x y z (fractional)
K: 0.2492 0.2492 0.2458
K: 0.7508 0.7508 0.7542
Ca: 0.0000 0.0000 0.5000
Y: 0.5000 0.5000 0.0000



This record from the Alexandria database describes a geometry-optimized KCaYZn2 structure. The functional is GGA-PBE.

Properties
N(E_F): 6.07 states/eV/f.u.
Space group: P4/mmm, No. 123
Total energy: -8.5 eV/cell
ΔH_f (0 K): 0.714 eV/atom

a b c (Å): 5.6808 5.6808 6.0325
angles (deg): 90.00 90.00 90.00
Element x y z (fractional)
K: 0.0000 0.0000 0.0000
Ca: 0.5000 0.5000 0.5000
Y: 0.5000 0.5000 0.0000
Zn: 0.0000 0.5000 0.5000
Zn: 0.5000 0.0000 0.5000



This record from the Alexandria database describes a geometry-optimized KCa2Zn2 structure. The functional is GGA-PBE.

Properties
N(E_F): 3.67 states/eV/f.u.
Space group: I4/mmm, No. 139
Offset from the most stable computed form: 0.058 eV per atom
Total energy: -7.5 eV/cell
ΔH_f (0 K): 0.023 eV/atom

a b c (Å): 7.1888 7.1888 7.1888
angles (deg): 137.17 137.17 62.18
Element x y z (fractional)
K: 0.0000 0.0000 0.0000
Ca: 0.2500 0.7500 0.5000
Ca: 0.7500 0.2500 0.5000
Zn: 0.3969 0.3969 0.0000
Zn: 0.6031 0.6031 0.0000



This record from the Alexandria database describes a geometry-optimized KCaZn3 structure. The functional is GGA-PBE.

Properties
N(E_F): 3.00 states/eV/f.u.
Space group: Pm-3m, No. 221
Offset from the most stable computed form: 0.254 eV per atom
Total energy: -3.7 eV/cell
ΔH_f (0 K): 0.650 eV/atom

a b c (Å): 5.6411 5.6411 5.6411
angles (deg): 90.00 90.00 90.00
Element x y z (fractional)
K: 0.0000 0.0000 0.0000
Ca: 0.5000 0.5000 0.5000
Zn: 0.0000 0.0000 0.5000
Zn: 0.0000 0.5000 0.0000
Zn: 0.5000 0.0000 0.0000



This record from the Alexandria database describes a geometry-optimized K2CaZn2 structure. The functional is GGA-PBE.

Properties
N(E_F): 3.21 states/eV/f.u.
Space group: P4/mbm, No. 127
Offset from the most stable computed form: 0.000 eV per atom
Total energy: -12.5 eV/cell
ΔH_f (0 K): 0.095 eV/atom

a b c (Å): 8.0267 8.0267 5.7307
angles (deg): 90.00 90.00 90.00
Element x y z (fractional)
K: 0.1744 0.3256 0.0000
K: 0.3256 0.8256 0.0000
K: 0.6744 0.1744 0.0000
K: 0.8256 0.6744 0.0000
Ca: 0.0000 0.0000 0.5000
Ca: 0.5000 0.5000 0.5000
Zn: 0.1149 0.6149 0.5000
Zn: 0.3851 0.1149 0.5000
Zn: 0.6149 0.8851 0.5000
Zn: 0.8851 0.3851 0.5000



This record from the Alexandria database describes a geometry-optimized KCa2Zn structure. The functional is GGA-PBE.

Properties
N(E_F): 3.24 states/eV/f.u.
Space group: P2/m, No. 10
Total energy: -6.6 eV/cell
ΔH_f (0 K): -0.048 eV/atom

a b c (Å): 3.7810 3.7812 10.6165
angles (deg): 90.00 90.41 90.00
Element x y z (fractional)
K: 0.0000 0.0000 0.0000
Ca: 0.4964 0.5000 0.3346
Ca: 0.5036 0.5000 0.6654
Zn: 0.0000 0.0000 0.5000



This record from the Alexandria database describes a geometry-optimized KCa2Zn2 structure. The functional is GGA-PBE.

Properties
N(E_F): 3.75 states/eV/f.u.
Space group: P4/mbm, No. 127
Offset from the most stable computed form: 0.034 eV per atom
Total energy: -15.3 eV/cell
ΔH_f (0 K): -0.001 eV/atom

a b c (Å): 9.2105 9.2105 3.6013
angles (deg): 90.00 90.00 90.00
Element x y z (fractional)
K: 0.0000 0.0000 0.0000
K: 0.5000 0.5000 0.0000
Ca: 0.1334 0.3666 0.0000
Ca: 0.3666 0.8666 0.0000
Ca: 0.6334 0.1334 0.0000
Ca: 0.8666 0.6334 0.0000
Zn: 0.1587 0.6587 0.5000
Zn: 0.3413 0.1587 0.5000
Zn: 0.6587 0.8413 0.5000
Zn: 0.8413 0.3413 0.5000



This record from the Alexandria database describes a geometry-optimized KCaZn2 structure. The functional is GGA-PBE.

Properties
N(E_F): 3.03 states/eV/f.u.
Space group: C2/m, No. 12
Offset from the most stable computed form: 0.024 eV per atom
Total energy: -5.6 eV/cell
ΔH_f (0 K): 0.022 eV/atom

a b c (Å): 5.6153 5.6153 7.6045
angles (deg): 120.09 120.09 47.80
Element x y z (fractional)
K: 0.0000 0.0000 0.0000
Ca: 0.5000 0.5000 0.5000
Zn: 0.2256 0.2256 0.5504
Zn: 0.7744 0.7744 0.4496



This record from the Alexandria database describes a geometry-optimized KCaZn2 structure. The functional is GGA-PBE.

Properties
N(E_F): 2.89 states/eV/f.u.
Space group: Imm2, No. 44
Offset from the most stable computed form: 0.060 eV per atom
Total energy: -5.4 eV/cell
ΔH_f (0 K): 0.058 eV/atom

a b c (Å): 6.3977 6.3977 6.3977
angles (deg): 145.88 128.75 63.01
Element x y z (fractional)
K: 0.0000 0.0000 0.0000
Ca: 0.6977 0.1977 0.5000
Zn: 0.2713 0.7713 0.5000
Zn: 0.4338 0.4338 0.0000



This record from the Alexandria database describes a geometry-optimized KCaZn2 structure. The functional is GGA-PBE.

Properties
N(E_F): 3.59 states/eV/f.u.
Space group: P4/mmm, No. 123
Offset from the most stable computed form: 0.000 eV per atom
Total energy: -5.7 eV/cell
ΔH_f (0 K): -0.002 eV/atom

a b c (Å): 4.0353 4.0353 7.8000
angles (deg): 90.00 90.00 90.00
Element x y z (fractional)
K: 0.0000 0.0000 0.0000
Ca: 0.0000 0.0000 0.5000
Zn: 0.5000 0.5000 0.3304
Zn: 0.5000 0.5000 0.6696



This record from the Alexandria database describes a geometry-optimized KCaZn2 structure. The functional is GGA-PBE.

Properties
N(E_F): 2.48 states/eV/f.u.
Space group: I-4m2, No. 119
Offset from the most stable computed form: 0.168 eV per atom
Total energy: -5.0 eV/cell
ΔH_f (0 K): 0.166 eV/atom

a b c (Å): 6.2402 6.2402 6.2402
angles (deg): 136.00 136.00 63.98
Element x y z (fractional)
K: 0.0000 0.0000 0.0000
Ca: 0.7500 0.2500 0.5000
Zn: 0.2500 0.7500 0.5000
Zn: 0.5000 0.5000 0.0000



This record from the Alexandria database describes a geometry-optimized KCa2Zn structure. The functional is GGA-PBE.

Properties
N(E_F): 4.52 states/eV/f.u.
Space group: Cm, No. 8
Total energy: -6.3 eV/cell
ΔH_f (0 K): 0.018 eV/atom

a b c (Å): 4.2381 4.2381 11.1804
angles (deg): 101.32 101.32 59.86
Element x y z (fractional)
K: 0.0000 0.0000 0.0000
Ca: 0.5566 0.5566 0.6632
Ca: 0.7788 0.7788 0.3361
Zn: 0.1676 0.1676 0.4992



This record from the Alexandria database describes a geometry-optimized KCa2Zn2 structure. The functional is GGA-PBE.

Properties
N(E_F): 2.68 states/eV/f.u.
Space group: P4/mbm, No. 127
Offset from the most stable computed form: 0.000 eV per atom
Total energy: -15.6 eV/cell
ΔH_f (0 K): -0.034 eV/atom

a b c (Å): 8.8127 8.8127 4.0109
angles (deg): 90.00 90.00 90.00
Element x y z (fractional)
K: 0.0000 0.0000 0.0000
K: 0.5000 0.5000 0.0000
Ca: 0.1618 0.3382 0.5000
Ca: 0.3382 0.8382 0.5000
Ca: 0.6618 0.1618 0.5000
Ca: 0.8382 0.6618 0.5000
Zn: 0.1154 0.6154 0.0000
Zn: 0.3846 0.1154 0.0000
Zn: 0.6154 0.8846 0.0000
Zn: 0.8846 0.3846 0.0000



This record from the Alexandria database describes a geometry-optimized KCa2Zn2 structure. The functional is GGA-PBE.

Properties
N(E_F): 4.23 states/eV/f.u.
Space group: I4/mmm, No. 139
Offset from the most stable computed form: 0.178 eV per atom
Total energy: -6.9 eV/cell
ΔH_f (0 K): 0.144 eV/atom

a b c (Å): 7.1685 7.1685 7.1685
angles (deg): 133.55 133.55 67.80
Element x y z (fractional)
K: 0.0000 0.0000 0.0000
Ca: 0.3394 0.3394 0.0000
Ca: 0.6606 0.6606 0.0000
Zn: 0.2500 0.7500 0.5000
Zn: 0.7500 0.2500 0.5000



This record from the Alexandria database describes a geometry-optimized KCa2Zn structure. The functional is GGA-PBE.

Properties
N(E_F): 3.19 states/eV/f.u.
Space group: Cm, No. 8
Total energy: -6.0 eV/cell
ΔH_f (0 K): 0.101 eV/atom

a b c (Å): 7.0105 7.0105 7.2751
angles (deg): 120.58 120.58 31.79
Element x y z (fractional)
K: 0.0000 0.0000 0.0000
Ca: 0.1771 0.1771 0.6384
Ca: 0.3749 0.3749 0.3861
Zn: 0.7182 0.7182 0.0013



This record from the Alexandria database describes a geometry-optimized K2CaZn2 structure. The functional is GGA-PBE.

Properties
N(E_F): 6.12 states/eV/f.u.
Space group: I4/mmm, No. 139
Offset from the most stable computed form: 0.090 eV per atom
Total energy: -5.8 eV/cell
ΔH_f (0 K): 0.185 eV/atom

a b c (Å): 8.3203 8.3203 8.3203
angles (deg): 146.19 146.19 48.57
Element x y z (fractional)
K: 0.2500 0.7500 0.5000
K: 0.7500 0.2500 0.5000
Ca: 0.0000 0.0000 0.0000
Zn: 0.4184 0.4184 0.0000
Zn: 0.5816 0.5816 0.0000



This record from the Alexandria database describes a geometry-optimized KCaZn2 structure. The functional is GGA-PBE.

Properties
N(E_F): 3.69 states/eV/f.u.
Space group: P-1, No. 2
Offset from the most stable computed form: 0.072 eV per atom
Total energy: -5.4 eV/cell
ΔH_f (0 K): 0.070 eV/atom

a b c (Å): 3.7038 5.5851 5.5935
angles (deg): 89.86 89.64 89.97
Element x y z (fractional)
K: 0.0000 0.0000 0.0000
Ca: 0.0000 0.5000 0.5000
Zn: 0.5000 0.0000 0.5000
Zn: 0.5000 0.5000 0.0000